! CuHgF2, optimized geometry, DFT PBE-GGA; values from VASP
&SYSTEM
  ibrav = 0, nat = 4, ntyp = 3
/
ATOMIC_SPECIES
F 19.00 F.upf
Hg 200.59 Hg.upf
Cu 63.55 Cu.upf
CELL_PARAMETERS angstrom
-1.972 5.198 5.782
-0.143 3.179 7.363
1.160 5.518 5.705
ATOMIC_POSITIONS crystal
F 0.877 0.877 0.877
Hg 0.000 0.000 0.000
Cu 0.500 0.500 0.500
F 0.123 0.123 0.123
! - Raw formation energy: -1.12 eV/atom
! - Energy above the most stable polymorph in this dataset: 0 meV/atom
! - D(E_F): 4.4 states/eV/cell
! - Volume: 16.77 A^3/atom
! - E_tot: -3.1539 eV per atom

---

! CuHgF2, optimized geometry, DFT PBE-GGA; values from VASP
&SYSTEM
  ibrav = 0, nat = 4, ntyp = 3
/
ATOMIC_SPECIES
F 19.00 F.upf
Hg 200.59 Hg.upf
Cu 63.55 Cu.upf
CELL_PARAMETERS angstrom
-0.155 -1.970 3.780
-1.173 2.162 3.485
-3.767 -0.796 1.837
ATOMIC_POSITIONS crystal
F 0.750 0.750 0.750
Hg 0.500 0.500 0.500
F 0.250 0.250 0.250
Cu 0.000 0.000 0.000
! - Raw formation energy: -0.75 eV/atom
! - Energy above the most stable polymorph in this dataset: 369 meV/atom
! - D(E_F): 1.1 states/eV/cell
! - Volume: 13.72 A^3/atom
! - E_tot: -2.7844 eV per atom

---

! Cu3HgF8, optimized geometry, DFT PBE-GGA; values from VASP
&SYSTEM
  ibrav = 0, nat = 12, ntyp = 3
/
ATOMIC_SPECIES
F 19.00 F.upf
Cu 63.55 Cu.upf
Hg 200.59 Hg.upf
CELL_PARAMETERS angstrom
5.902 0.000 0.000
-2.951 5.111 0.000
0.000 0.000 6.327
ATOMIC_POSITIONS crystal
F 0.333 0.667 0.576
F 0.149 0.850 0.206
F 0.701 0.851 0.206
F 0.850 0.701 0.794
F 0.299 0.149 0.794
Cu 0.667 0.333 0.712
F 0.150 0.299 0.206
F 0.851 0.150 0.794
F 0.667 0.333 0.424
Cu 0.000 0.000 0.000
Cu 0.333 0.667 0.288
Hg 0.000 0.000 0.500
! - Raw formation energy: -1.32 eV/atom
! - Energy above the most stable polymorph in this dataset: 104 meV/atom
! - D(E_F): 6.1 states/eV/cell
! - Volume: 15.90 A^3/atom
! - E_tot: -3.6206 eV per atom

---

! CuHg3F7, optimized geometry, DFT PBE-GGA; values from VASP
&SYSTEM
  ibrav = 0, nat = 22, ntyp = 3
/
ATOMIC_SPECIES
F 19.00 F.upf
Hg 200.59 Hg.upf
Cu 63.55 Cu.upf
CELL_PARAMETERS angstrom
-3.919 -2.589 5.044
6.594 -0.479 1.948
-0.440 6.843 3.171
ATOMIC_POSITIONS crystal
F 0.631 0.369 0.750
Hg 0.001 0.460 0.248
F 0.937 0.675 0.474
F 0.369 0.631 0.250
F 0.325 0.063 0.026
F 0.368 0.632 0.750
Cu 0.996 0.996 0.500
F 0.053 0.947 0.750
Hg 0.533 0.533 0.000
Hg 0.460 0.001 0.752
F 0.947 0.053 0.250
F 0.674 0.922 0.976
Hg 0.467 0.467 0.500
F 0.632 0.368 0.250
Hg 0.540 0.999 0.252
F 0.063 0.325 0.974
F 0.675 0.937 0.526
F 0.078 0.326 0.524
F 0.922 0.674 0.024
Hg 0.999 0.540 0.748
F 0.326 0.078 0.476
Cu 0.004 0.004 0.000
! - Raw formation energy: -1.37 eV/atom
! - D(E_F): 8.2 states/eV/cell
! - Volume: 15.50 A^3/atom
! - E_tot: -3.0173 eV per atom

---

! Cu2HgF, optimized geometry, DFT PBE-GGA; values from VASP
&SYSTEM
  ibrav = 0, nat = 8, ntyp = 3
/
ATOMIC_SPECIES
Hg 200.59 Hg.upf
F 19.00 F.upf
Cu 63.55 Cu.upf
CELL_PARAMETERS angstrom
6.531 0.000 0.000
0.000 6.531 0.000
3.265 3.265 2.767
ATOMIC_POSITIONS crystal
Hg 0.750 0.250 0.500
Hg 0.000 0.000 0.000
F 0.500 0.500 0.000
Cu 0.572 0.125 0.250
F 0.250 0.750 0.500
Cu 0.178 0.625 0.250
Cu 0.375 0.428 0.750
Cu 0.875 0.822 0.750
! - Raw formation energy: -0.30 eV/atom
! - Energy above the most stable polymorph in this dataset: 0 meV/atom
! - D(E_F): 1.9 states/eV/cell
! - Volume: 14.75 A^3/atom
! - E_tot: -2.8870 eV per atom

---

! Cu2HgF, optimized geometry, DFT PBE-GGA; values from VASP
&SYSTEM
  ibrav = 0, nat = 4, ntyp = 3
/
ATOMIC_SPECIES
Cu 63.55 Cu.upf
Hg 200.59 Hg.upf
F 19.00 F.upf
CELL_PARAMETERS angstrom
0.000 3.087 3.087
3.087 0.000 3.087
3.087 3.087 0.000
ATOMIC_POSITIONS crystal
Cu 0.250 0.250 0.250
Cu 0.750 0.750 0.750
Hg 0.500 0.500 0.500
F 0.000 0.000 0.000
! - Raw formation energy: -0.14 eV/atom
! - Energy above the most stable polymorph in this dataset: 153 meV/atom
! - D(E_F): 1.7 states/eV/cell
! - Volume: 14.70 A^3/atom
! - E_tot: -2.7341 eV per atom

---

Please write out number 6 again, unchanged.
! Cu2HgF, optimized geometry, DFT PBE-GGA; values from VASP
&SYSTEM
  ibrav = 0, nat = 4, ntyp = 3
/
ATOMIC_SPECIES
Cu 63.55 Cu.upf
Hg 200.59 Hg.upf
F 19.00 F.upf
CELL_PARAMETERS angstrom
0.000 3.087 3.087
3.087 0.000 3.087
3.087 3.087 0.000
ATOMIC_POSITIONS crystal
Cu 0.250 0.250 0.250
Cu 0.750 0.750 0.750
Hg 0.500 0.500 0.500
F 0.000 0.000 0.000
! - Raw formation energy: -0.14 eV/atom
! - Energy above the most stable polymorph in this dataset: 153 meV/atom
! - D(E_F): 1.7 states/eV/cell
! - Volume: 14.70 A^3/atom
! - E_tot: -2.7341 eV per atom

---

Q: Which value of D(E_F) does entry 3 give?
A: 6.1 states/eV/cell

---

Copy entry 6 word for word.
! Cu2HgF, optimized geometry, DFT PBE-GGA; values from VASP
&SYSTEM
  ibrav = 0, nat = 4, ntyp = 3
/
ATOMIC_SPECIES
Cu 63.55 Cu.upf
Hg 200.59 Hg.upf
F 19.00 F.upf
CELL_PARAMETERS angstrom
0.000 3.087 3.087
3.087 0.000 3.087
3.087 3.087 0.000
ATOMIC_POSITIONS crystal
Cu 0.250 0.250 0.250
Cu 0.750 0.750 0.750
Hg 0.500 0.500 0.500
F 0.000 0.000 0.000
! - Raw formation energy: -0.14 eV/atom
! - Energy above the most stable polymorph in this dataset: 153 meV/atom
! - D(E_F): 1.7 states/eV/cell
! - Volume: 14.70 A^3/atom
! - E_tot: -2.7341 eV per atom